[1]
Below is crystalline Ca2MgGa at its relaxed geometry, with properties calculated at the PBE level.

Geometry as CIF:
```
data_Ca2MgGa
_chemical_formula_sum 'Ca2 Mg1 Ga1'
_symmetry_space_group_name_H-M 'P 4/m m m'
_symmetry_Int_Tables_number 123
_symmetry_space_group_name_Hall '-P 4 2'
_cell_length_a 3.7618
_cell_length_b 3.7618
_cell_length_c 7.8226
_cell_angle_alpha 90.00
_cell_angle_beta 90.00
_cell_angle_gamma 90.00
loop_
_atom_site_label
_atom_site_type_symbol
_atom_site_fract_x
_atom_site_fract_y
_atom_site_fract_z
Ca1 Ca 0.0000 0.0000 0.2238
Mg1 Mg 0.5000 0.5000 0.5000
Ga1 Ga 0.5000 0.5000 0.0000
```

Theoretical density = 2.61 g/cm³
Energy = -0.08953 Ha/atom



[2]
Below is crystalline Ca2MgGa at its relaxed geometry, with properties calculated at the PBE level.

Geometry as CIF:
```
data_Ca2MgGa
_chemical_formula_sum 'Ca6 Mg3 Ga3'
_symmetry_space_group_name_H-M 'R -3 m'
_symmetry_Int_Tables_number 166
_symmetry_space_group_name_Hall '-R 3 2"'
_cell_length_a 3.6078
_cell_length_b 3.6078
_cell_length_c 35.0391
_cell_angle_alpha 90.00
_cell_angle_beta 90.00
_cell_angle_gamma 120.00
loop_
_atom_site_label
_atom_site_type_symbol
_atom_site_fract_x
_atom_site_fract_y
_atom_site_fract_z
Ca1 Ca 0.0000 0.0000 0.0872
Mg1 Mg 0.0000 0.0000 0.5000
Ga1 Ga 0.0000 0.0000 0.0000
```

Theoretical density = 2.20 g/cm³
Energy = -0.07217 Ha/atom



[3]
Below is crystalline Ca2MgGa at its relaxed geometry, with properties calculated at the PBE level.

Geometry as CIF:
```
data_Ca2MgGa
_chemical_formula_sum 'Ca4 Mg2 Ga2'
_symmetry_space_group_name_H-M 'I m m m'
_symmetry_Int_Tables_number 71
_symmetry_space_group_name_Hall '-I 2 2'
_cell_length_a 3.8580
_cell_length_b 3.8826
_cell_length_c 17.6226
_cell_angle_alpha 90.00
_cell_angle_beta 90.00
_cell_angle_gamma 90.00
loop_
_atom_site_label
_atom_site_type_symbol
_atom_site_fract_x
_atom_site_fract_y
_atom_site_fract_z
Ca1 Ca 0.0000 0.0000 0.1680
Mg1 Mg 0.0000 0.0000 0.5000
Ga1 Ga 0.0000 0.0000 0.0000
```

Theoretical density = 2.19 g/cm³
Energy = -0.07870 Ha/atom



[4]
Below is crystalline CaMg4Ga2 at its relaxed geometry, with properties calculated at the PBE level.

Geometry as CIF:
```
data_CaMg4Ga2
_chemical_formula_sum 'Ca2 Mg8 Ga4'
_symmetry_space_group_name_H-M 'C m m m'
_symmetry_Int_Tables_number 65
_symmetry_space_group_name_Hall '-C 2 2'
_cell_length_a 4.4358
_cell_length_b 16.3661
_cell_length_c 4.4504
_cell_angle_alpha 90.00
_cell_angle_beta 90.00
_cell_angle_gamma 90.00
loop_
_atom_site_label
_atom_site_type_symbol
_atom_site_fract_x
_atom_site_fract_y
_atom_site_fract_z
Ca1 Ca 0.0000 0.0000 0.0000
Mg1 Mg 0.0000 0.1781 0.5000
Mg2 Mg 0.0000 0.3212 0.0000
Ga1 Ga 0.0000 0.4243 0.5000
```

Theoretical density = 2.84 g/cm³
Energy = -0.08377 Ha/atom



[5]
Below is crystalline CaMg4Ga at its relaxed geometry, with properties calculated at the PBE level.

Geometry as CIF:
```
data_CaMg4Ga
_chemical_formula_sum 'Ca4 Mg16 Ga4'
_symmetry_space_group_name_H-M 'F -4 3 m'
_symmetry_Int_Tables_number 216
_symmetry_space_group_name_Hall 'F -4 2 3'
_cell_length_a 8.4786
_cell_length_b 8.4786
_cell_length_c 8.4786
_cell_angle_alpha 90.00
_cell_angle_beta 90.00
_cell_angle_gamma 90.00
loop_
_atom_site_label
_atom_site_type_symbol
_atom_site_fract_x
_atom_site_fract_y
_atom_site_fract_z
Ca1 Ca 0.0000 0.0000 0.0000
Mg1 Mg 0.1247 0.1247 0.3753
Ga1 Ga 0.2500 0.2500 0.7500
```

Theoretical density = 2.26 g/cm³
Energy = -0.06924 Ha/atom
Polymorph energy (0 for the lowest one) = 0.984 eV/f.u.



[6]
Below is crystalline Ca4MgGa at its relaxed geometry, with properties calculated at the PBE level.

Geometry as CIF:
```
data_Ca4MgGa
_chemical_formula_sum 'Ca8 Mg2 Ga2'
_symmetry_space_group_name_H-M 'C 1 2/m 1'
_symmetry_Int_Tables_number 12
_cell_length_a 9.2808
_cell_length_b 5.3487
_cell_length_c 9.4171
_cell_angle_alpha 90.00
_cell_angle_beta 109.05
_cell_angle_gamma 90.00
loop_
_symmetry_equiv_pos_as_xyz
'x,y,z'
'-x,-y,-z'
'-x,y,-z'
'x,-y,z'
'x+1/2,y+1/2,z'
'-x+1/2,-y+1/2,-z'
'-x+1/2,y+1/2,-z'
'x+1/2,-y+1/2,z'
loop_
_atom_site_label
_atom_site_type_symbol
_atom_site_fract_x
_atom_site_fract_y
_atom_site_fract_z
Ca1 Ca 0.1136 0.0000 0.3398
Ca2 Ca 0.1351 0.5000 0.9052
Mg1 Mg 0.0000 0.5000 0.5000
Ga1 Ga 0.0000 0.0000 0.0000
```

Theoretical density = 1.91 g/cm³
Energy = -0.07866 Ha/atom
Polymorph energy (0 for the lowest one) = 0.709 eV/f.u.



[7]
Below is crystalline CaMg2Ga2 at its relaxed geometry, with properties calculated at the PBE level.

Geometry as CIF:
```
data_CaMg2Ga2
_chemical_formula_sum 'Ca2 Mg4 Ga4'
_symmetry_space_group_name_H-M 'P 4/m b m'
_symmetry_Int_Tables_number 127
_symmetry_space_group_name_Hall '-P 4 2ab'
_cell_length_a 7.9977
_cell_length_b 7.9977
_cell_length_c 3.5692
_cell_angle_alpha 90.00
_cell_angle_beta 90.00
_cell_angle_gamma 90.00
loop_
_atom_site_label
_atom_site_type_symbol
_atom_site_fract_x
_atom_site_fract_y
_atom_site_fract_z
Ca1 Ca 0.0000 0.0000 0.0000
Mg1 Mg 0.1672 0.3328 0.5000
Ga1 Ga 0.1250 0.6250 0.0000
```

Theoretical density = 3.32 g/cm³
Energy = -0.08995 Ha/atom



[8]
Below is crystalline Ca2Mg2Ga at its relaxed geometry, with properties calculated at the PBE level.

Geometry as CIF:
```
data_Ca2Mg2Ga
_chemical_formula_sum 'Ca4 Mg4 Ga2'
_symmetry_space_group_name_H-M 'P 4/m b m'
_symmetry_Int_Tables_number 127
_symmetry_space_group_name_Hall '-P 4 2ab'
_cell_length_a 7.3439
_cell_length_b 7.3439
_cell_length_c 5.2249
_cell_angle_alpha 90.00
_cell_angle_beta 90.00
_cell_angle_gamma 90.00
loop_
_atom_site_label
_atom_site_type_symbol
_atom_site_fract_x
_atom_site_fract_y
_atom_site_fract_z
Ca1 Ca 0.1777 0.3223 0.0000
Mg1 Mg 0.1399 0.6399 0.5000
Ga1 Ga 0.0000 0.0000 0.5000
```

Theoretical density = 2.34 g/cm³
Energy = -0.07856 Ha/atom
Polymorph energy (0 for the lowest one) = 0.000 eV/f.u.



[9]
Below is crystalline Ca2MgGa7 at its relaxed geometry, with properties calculated at the PBE level.

Geometry as CIF:
```
data_Ca2MgGa7
_chemical_formula_sum 'Ca2 Mg1 Ga7'
_symmetry_space_group_name_H-M 'P -4 m 2'
_symmetry_Int_Tables_number 115
_cell_length_a 4.3209
_cell_length_b 4.3209
_cell_length_c 11.2374
_cell_angle_alpha 90.00
_cell_angle_beta 90.00
_cell_angle_gamma 90.00
loop_
_symmetry_equiv_pos_as_xyz
'x,y,z'
'y,-x,-z'
'-x,-y,z'
'-y,x,-z'
'-x,y,z'
'-y,-x,-z'
'x,-y,z'
'y,x,-z'
loop_
_atom_site_label
_atom_site_type_symbol
_atom_site_fract_x
_atom_site_fract_y
_atom_site_fract_z
Ca1 Ca 0.0000 0.5000 0.2426
Mg1 Mg 0.0000 0.0000 0.5000
Ga1 Ga 0.0000 0.0000 0.0000
Ga2 Ga 0.0000 0.5000 0.6436
Ga3 Ga 0.0000 0.5000 0.8654
Ga4 Ga 0.5000 0.5000 0.0000
Ga5 Ga 0.5000 0.5000 0.5000
```

Theoretical density = 4.69 g/cm³
Energy = -0.11200 Ha/atom



[10]
Below is crystalline Ca5Mg4Ga at its relaxed geometry, with properties calculated at the PBE level.

Geometry as CIF:
```
data_Ca5Mg4Ga
_chemical_formula_sum 'Ca5 Mg4 Ga1'
_symmetry_space_group_name_H-M 'P 4/m m m'
_symmetry_Int_Tables_number 123
_symmetry_space_group_name_Hall '-P 4 2'
_cell_length_a 3.8661
_cell_length_b 3.8661
_cell_length_c 19.8613
_cell_angle_alpha 90.00
_cell_angle_beta 90.00
_cell_angle_gamma 90.00
loop_
_atom_site_label
_atom_site_type_symbol
_atom_site_fract_x
_atom_site_fract_y
_atom_site_fract_z
Ca1 Ca 0.0000 0.0000 0.0000
Ca2 Ca 0.0000 0.0000 0.2067
Ca3 Ca 0.0000 0.0000 0.4135
Mg1 Mg 0.5000 0.5000 0.1029
Mg2 Mg 0.5000 0.5000 0.3100
Ga1 Ga 0.5000 0.5000 0.5000
```

Theoretical density = 2.05 g/cm³
Energy = -0.07708 Ha/atom



Number 1: total magnetic moment 0.00 μB per formula unit, DOS at the Fermi energy 0.468 states/eV/atom, formation energy -280 meV per atom. Number 2: total magnetic moment 0.00 μB per formula unit, DOS at the Fermi energy 0.987 states/eV/atom, formation energy 192 meV per atom. Number 3: total magnetic moment 0.00 μB per formula unit, DOS at the Fermi energy 0.931 states/eV/atom, formation energy 15 meV per atom. Number 4: total magnetic moment 0.00 μB per formula unit, DOS at the Fermi energy 0.584 states/eV/atom, formation energy -218 meV per atom. Number 5: total magnetic moment 0.00 μB per formula unit, DOS at the Fermi energy 0.619 states/eV/atom, formation energy 17 meV per atom. Number 6: total magnetic moment 0.00 μB per formula unit, DOS at the Fermi energy 1.292 states/eV/atom, formation energy -36 meV per atom. Number 7: total magnetic moment 0.00 μB per formula unit, DOS at the Fermi energy 0.596 states/eV/atom, formation energy -199 meV per atom. Number 8: total magnetic moment 0.00 μB per formula unit, DOS at the Fermi energy 0.916 states/eV/atom, formation energy -94 meV per atom. Number 9: total magnetic moment 0.00 μB per formula unit, DOS at the Fermi energy 0.394 states/eV/atom, formation energy -369 meV per atom. Number 10: total magnetic moment 0.00 μB per formula unit, DOS at the Fermi energy 0.847 states/eV/atom, formation energy -156 meV per atom.